Compound: TmVIn2O6
Source: Alexandria
Functional: PBE with a Hubbard U
Structure: optimized geometry

Unit cell a=5.841 b=5.841 c=5.841 alpha=56.20 beta=56.20 gamma=56.20
Atoms (fractional coordinates):
Tm 0.000 0.000 0.000
V 0.492 0.492 0.492
In 0.280 0.280 0.280
In 0.787 0.787 0.787
O 0.111 0.686 0.395
O 0.213 0.596 0.869
O 0.395 0.111 0.686
O 0.596 0.869 0.213
O 0.686 0.395 0.111
O 0.869 0.213 0.596

Values from the calculation:
The electronic total energy comes out at -68.8 eV/cell. As for the crystal system: trigonal. Its spin magnetization is 0.200 μB/atom.